Entry from the Alexandria database: Nd2Co15Ni2 after structural relaxation (PBE-GGA).

Calculated values
Formation enthalpy at 0 K ... -0.0538 eV per atom
Space group ... R-3m
N(E_F) ... 21.82 states/eV per cell

```
Nd2Co15Ni2
1.0
4.200 2.425 4.048
-4.200 2.425 4.048
0.000 -4.850 4.048
Nd Co Ni
2 15 2
Direct
0.158 0.158 0.158
0.842 0.842 0.842
0.000 0.500 0.500
0.156 0.156 0.651
0.156 0.651 0.156
0.217 0.500 0.783
0.217 0.783 0.500
0.349 0.844 0.844
0.500 0.000 0.500
0.500 0.217 0.783
0.500 0.500 0.000
0.500 0.783 0.217
0.651 0.156 0.156
0.783 0.217 0.500
0.783 0.500 0.217
0.844 0.349 0.844
0.844 0.844 0.349
0.399 0.399 0.399
0.601 0.601 0.601
```

---

Entry from the Alexandria database: P2PbO6 after structural relaxation (PBE-GGA).

Calculated values
Space group ... C2/m
Energy relative to the elements, uncorrected ... -174.3 kJ per mole of atoms
N(E_F) ... 0.00 states/eV per cell

```
P2PbO6
1.0
5.609 -1.989 0.000
5.609 1.989 0.000
-1.406 0.000 6.238
P Pb O
2 1 6
Direct
0.249 0.249 0.160
0.751 0.751 0.840
0.000 0.000 0.500
0.132 0.132 0.233
0.246 0.246 0.908
0.372 0.372 0.315
0.628 0.628 0.685
0.754 0.754 0.092
0.868 0.868 0.767
```

---

Entry from the Alexandria database: Mg4HPb2 after structural relaxation (PBE-GGA).

Calculated values
Excess energy over the best structure of this formula in the dataset ... 0.000 eV/f.u.
Space group ... Pnma
N(E_F) ... 11.21 states/eV per cell

```
Mg4HPb2
1.0
8.651 0.000 0.000
0.000 6.297 0.000
0.000 0.000 10.974
Mg H Pb
16 4 8
Direct
0.019 0.250 0.120
0.146 0.000 0.657
0.146 0.500 0.657
0.194 0.750 0.402
0.306 0.250 0.902
0.354 0.000 0.157
0.354 0.500 0.157
0.481 0.750 0.620
0.519 0.250 0.380
0.646 0.000 0.843
0.646 0.500 0.843
0.694 0.750 0.098
0.806 0.250 0.598
0.854 0.000 0.343
0.854 0.500 0.343
0.981 0.750 0.880
0.247 0.250 0.078
0.253 0.750 0.578
0.747 0.250 0.422
0.753 0.750 0.922
0.046 0.750 0.150
0.157 0.250 0.397
0.343 0.750 0.897
0.454 0.250 0.650
0.546 0.750 0.350
0.657 0.250 0.103
0.843 0.750 0.603
0.954 0.250 0.850
```